1.
Ta2B2Os after structural relaxation, computed with PBE-GGA.

Output
DFT formation energy = -3.193 eV/f.u.
polymorph energy (0 for the lowest one) = 0.8 kJ/mol of atoms
density of states at the Fermi level = 0.367 states/eV/atom
space group = No. 127
calculated volume = 12.082 Å³ per atom

```
10
Lattice="5.849 0.000 0.000 0.000 5.849 0.000 0.000 0.000 3.531" Properties=species:S:1:pos:R:3 pbc="T T T"
Ta 1.029 1.896 0.000
Ta 1.896 4.820 0.000
Ta 3.953 1.029 0.000
Ta 4.820 3.953 0.000
B 0.677 3.602 1.766
B 2.247 0.677 1.766
B 3.602 5.172 1.766
B 5.172 2.247 1.766
Os 0.000 0.000 1.766
Os 2.925 2.925 1.766
```

***

2.
Li3InF6 after structural relaxation, computed with PBE-GGA.

Output
polymorph energy (0 for the lowest one) = 3.8 kJ/mol of atoms
density of states at the Fermi level = 0.000 states/eV/atom
space group = No. 167
calculated volume = 13.859 Å³ per atom
ΔE_f (raw) = -2720 meV/atom

```
20
Lattice="4.619 2.667 3.751 -4.619 2.667 3.751 0.000 -5.333 3.751" Properties=species:S:1:pos:R:3 pbc="T T T"
Li -3.401 -0.557 4.689
Li -1.218 -3.223 6.564
Li 2.183 -2.667 4.689
Li -2.183 2.667 6.564
Li 1.218 3.223 4.689
Li 3.401 0.557 6.564
In 0.000 0.000 0.000
In 0.000 0.000 5.627
F -1.366 -4.242 4.892
F -4.357 -0.938 6.361
F -1.366 -1.091 4.485
F -2.991 3.305 4.892
F -1.628 0.638 6.768
F -0.261 1.729 4.485
F 0.261 -1.729 6.768
F 1.628 -0.638 4.485
F 2.991 -3.305 6.361
F 1.366 1.091 6.768
F 4.357 0.938 4.892
F 1.366 4.242 6.361
```